# Rb3Pm3ScSe8, optimized geometry, DFT PBE-GGA
# DOS at the Fermi energy (states/eV per atom): 0.74
# DFT total energy (eV/atom): -5.043
# Size of the total moment (μB per cell): 0.000
data_Rb3Pm3ScSe8
_cell_length_a 8.4437
_cell_length_b 8.4437
_cell_length_c 24.6210
_cell_angle_alpha 90.00
_cell_angle_beta 90.00
_cell_angle_gamma 120.00
_symmetry_space_group_name_H-M 'R -3 m'
_symmetry_Int_Tables_number 166
_symmetry_space_group_name_Hall '-R 3 2"'
loop_
_atom_site_label
_atom_site_fract_x
_atom_site_fract_y
_atom_site_fract_z
Rb1 0.0000 0.5000 0.0000
Pm1 0.0000 0.5000 0.5000
Sc1 0.0000 0.0000 0.5000
Se1 0.0000 0.0000 0.2339
Se2 0.0184 0.5092 0.2298

=====

# ZnSb2PdI, optimized geometry, DFT PBE-GGA
# DOS at the Fermi energy (states/eV per atom): 0.75
# Energy relative to the lowest polymorph listed for this composition (eV/f.u.): 1.49
# Size of the total moment (μB per cell): 0.000
data_ZnSb2PdI
_cell_length_a 5.152
_cell_length_b 5.152
_cell_length_c 5.541
_cell_angle_alpha 90.00
_cell_angle_beta 90.00
_cell_angle_gamma 90.00
_symmetry_space_group_name_H-M 'P 4/m m m'
_symmetry_Int_Tables_number 123
_symmetry_space_group_name_Hall '-P 4 2'
loop_
_atom_site_label
_atom_site_fract_x
_atom_site_fract_y
_atom_site_fract_z
Zn1 0.000 0.000 0.000
Sb1 0.000 0.500 0.000
Pd1 0.500 0.500 0.500
I1 0.000 0.000 0.500

=====

# SmHoW, optimized geometry, DFT PBE-GGA
# DOS at the Fermi energy (states/eV per atom): 1.25
# E_form (eV/atom): 0.19
# Size of the total moment (μB per cell): 0.000
data_SmHoW
_cell_length_a 3.343
_cell_length_b 3.343
_cell_length_c 13.897
_cell_angle_alpha 90.00
_cell_angle_beta 90.00
_cell_angle_gamma 90.00
_symmetry_space_group_name_H-M 'P 4/n m m'
_symmetry_Int_Tables_number 129
loop_
_symmetry_equiv_pos_as_xyz
'x,y,z'
'-x,-y,-z'
'-y+1/2,x,z'
'y+1/2,-x,-z'
'-x+1/2,-y+1/2,z'
'x+1/2,y+1/2,-z'
'y,-x+1/2,z'
'-y,x+1/2,-z'
'x+1/2,-y,-z'
'-x+1/2,y,z'
'-y,-x,-z'
'y,x,z'
'-x,y+1/2,-z'
'x,-y+1/2,z'
'y+1/2,x+1/2,-z'
'-y+1/2,-x+1/2,z'
loop_
_atom_site_label
_atom_site_fract_x
_atom_site_fract_y
_atom_site_fract_z
Sm1 0.250 0.250 0.098
Ho1 0.250 0.250 0.691
W1 0.250 0.250 0.453

=====

# Pd2PtPb, optimized geometry, DFT PBE-GGA
# DOS at the Fermi energy (states/eV per atom): 0.39
# Energy relative to the lowest polymorph listed for this composition (eV/f.u.): 0.36
# E_form (eV/atom): -0.15
# Size of the total moment (μB per cell): 0.000
data_Pd2PtPb
_cell_length_a 6.539
_cell_length_b 6.539
_cell_length_c 6.539
_cell_angle_alpha 90.00
_cell_angle_beta 90.00
_cell_angle_gamma 90.00
_symmetry_space_group_name_H-M 'F -4 3 m'
_symmetry_Int_Tables_number 216
_symmetry_space_group_name_Hall 'F -4 2 3'
loop_
_atom_site_label
_atom_site_fract_x
_atom_site_fract_y
_atom_site_fract_z
Pd1 0.000 0.000 0.000
Pd2 0.250 0.250 0.250
Pt1 0.000 0.000 0.500
Pb1 0.250 0.250 0.750

=====

# Ca12Pb3O5, optimized geometry, DFT PBE-GGA
# DOS at the Fermi energy (states/eV per atom): 0.27
# DFT total energy (eV/atom): -4.527
# Size of the total moment (μB per cell): 0.008
data_Ca12Pb3O5
_cell_length_a 16.030
_cell_length_b 16.030
_cell_length_c 16.030
_cell_angle_alpha 90.00
_cell_angle_beta 90.00
_cell_angle_gamma 90.00
_symmetry_space_group_name_H-M 'I a -3 d'
_symmetry_Int_Tables_number 230
_symmetry_space_group_name_Hall '-I 4bd 2c 3'
loop_
_atom_site_label
_atom_site_fract_x
_atom_site_fract_y
_atom_site_fract_z
Ca1 0.036 0.047 0.650
Pb1 0.000 0.250 0.125
O1 0.000 0.000 0.000
O2 0.000 0.250 0.375

=====

# Ta2NiAu, optimized geometry, DFT PBE-GGA
# DOS at the Fermi energy (states/eV per atom): 0.78
# Energy relative to the lowest polymorph listed for this composition (eV/f.u.): 0.22
# E_form (eV/atom): -0.09
# Size of the total moment (μB per cell): 0.000
data_Ta2NiAu
_cell_length_a 2.865
_cell_length_b 2.865
_cell_length_c 7.941
_cell_angle_alpha 90.00
_cell_angle_beta 90.00
_cell_angle_gamma 90.00
_symmetry_space_group_name_H-M 'P 4 m m'
_symmetry_Int_Tables_number 99
_symmetry_space_group_name_Hall 'P 4 -2'
loop_
_atom_site_label
_atom_site_fract_x
_atom_site_fract_y
_atom_site_fract_z
Ta1 0.000 0.000 0.000
Ta2 0.500 0.500 0.282
Ni1 0.500 0.500 0.784
Au1 0.000 0.000 0.550

=====

# SmSnTe4Pb2, optimized geometry, DFT PBE-GGA
# DOS at the Fermi energy (states/eV per atom): 0.51
# DFT total energy (eV/atom): -4.164
# Size of the total moment (μB per cell): 0.000
data_SmSnTe4Pb2
_cell_length_a 8.030
_cell_length_b 4.435
_cell_length_c 8.037
_cell_angle_alpha 90.00
_cell_angle_beta 107.29
_cell_angle_gamma 90.00
_symmetry_space_group_name_H-M 'P 1 2/m 1'
_symmetry_Int_Tables_number 10
_symmetry_space_group_name_Hall '-P 2y'
loop_
_atom_site_label
_atom_site_fract_x
_atom_site_fract_y
_atom_site_fract_z
Sm1 0.000 0.000 0.000
Sn1 0.500 0.500 0.000
Te1 0.245 0.500 0.238
Te2 0.252 0.000 0.762
Pb1 0.000 0.500 0.500
Pb2 0.500 0.000 0.500

=====

# CaCd2Au2, optimized geometry, DFT PBE-GGA
# DOS at the Fermi energy (states/eV per atom): 0.41
# Energy relative to the lowest polymorph listed for this composition (eV/f.u.): 0.00
# E_form (eV/atom): -0.47
# Size of the total moment (μB per cell): 0.000
data_CaCd2Au2
_cell_length_a 4.227
_cell_length_b 4.227
_cell_length_c 13.255
_cell_angle_alpha 90.00
_cell_angle_beta 90.00
_cell_angle_gamma 90.00
_symmetry_space_group_name_H-M 'I 4/m m m'
_symmetry_Int_Tables_number 139
_symmetry_space_group_name_Hall '-I 4 2'
loop_
_atom_site_label
_atom_site_fract_x
_atom_site_fract_y
_atom_site_fract_z
Ca1 0.000 0.000 0.000
Cd1 0.000 0.500 0.250
Au1 0.000 0.000 0.398

=====

# BeAlAs3, optimized geometry, DFT PBE-GGA
# DOS at the Fermi energy (states/eV per atom): 0.68
# Energy relative to the lowest polymorph listed for this composition (eV/f.u.): 2.34
# E_form (eV/atom): 1.00
# Size of the total moment (μB per cell): 0.000
data_BeAlAs3
_cell_length_a 4.807
_cell_length_b 4.807
_cell_length_c 4.807
_cell_angle_alpha 90.00
_cell_angle_beta 90.00
_cell_angle_gamma 90.00
_symmetry_space_group_name_H-M 'P m -3 m'
_symmetry_Int_Tables_number 221
_symmetry_space_group_name_Hall '-P 4 2 3'
loop_
_atom_site_label
_atom_site_fract_x
_atom_site_fract_y
_atom_site_fract_z
Be1 0.000 0.000 0.000
Al1 0.500 0.500 0.500
As1 0.000 0.500 0.500

=====

# ZnTe3Ru, optimized geometry, DFT PBE-GGA
# DOS at the Fermi energy (states/eV per atom): 1.39
# Energy relative to the lowest polymorph listed for this composition (eV/f.u.): 0.00
# Size of the total moment (μB per cell): 0.000
data_ZnTe3Ru
_cell_length_a 5.247
_cell_length_b 5.247
_cell_length_c 5.247
_cell_angle_alpha 90.00
_cell_angle_beta 90.00
_cell_angle_gamma 90.00
_symmetry_space_group_name_H-M 'P m -3 m'
_symmetry_Int_Tables_number 221
_symmetry_space_group_name_Hall '-P 4 2 3'
loop_
_atom_site_label
_atom_site_fract_x
_atom_site_fract_y
_atom_site_fract_z
Zn1 0.000 0.000 0.000
Te1 0.000 0.500 0.500
Ru1 0.500 0.500 0.500

=====

# BaMgCl2, optimized geometry, DFT PBE-GGA
# DOS at the Fermi energy (states/eV per atom): 0.12
# Energy relative to the lowest polymorph listed for this composition (eV/f.u.): 0.53
# Size of the total moment (μB per cell): 0.000
data_BaMgCl2
_cell_length_a 5.201
_cell_length_b 5.201
_cell_length_c 4.327
_cell_angle_alpha 90.00
_cell_angle_beta 90.00
_cell_angle_gamma 90.00
_symmetry_space_group_name_H-M 'P 4/m m m'
_symmetry_Int_Tables_number 123
_symmetry_space_group_name_Hall '-P 4 2'
loop_
_atom_site_label
_atom_site_fract_x
_atom_site_fract_y
_atom_site_fract_z
Ba1 0.000 0.000 0.000
Mg1 0.500 0.500 0.000
Cl1 0.000 0.500 0.500

=====

# Mn2CdPt, optimized geometry, DFT PBE-GGA
# DOS at the Fermi energy (states/eV per atom): 0.60
# E_form (eV/atom): 0.07
# Size of the total moment (μB per cell): 7.816
data_Mn2CdPt
_cell_length_a 4.798
_cell_length_b 2.907
_cell_length_c 5.001
_cell_angle_alpha 90.00
_cell_angle_beta 110.51
_cell_angle_gamma 90.00
_symmetry_space_group_name_H-M 'P 1 2/m 1'
_symmetry_Int_Tables_number 10
_symmetry_space_group_name_Hall '-P 2y'
loop_
_atom_site_label
_atom_site_fract_x
_atom_site_fract_y
_atom_site_fract_z
Mn1 0.000 0.000 0.000
Mn2 0.000 0.500 0.500
Cd1 0.500 0.000 0.500
Pt1 0.500 0.500 0.000

=====

Copy entry 11 word for word.
# BaMgCl2, optimized geometry, DFT PBE-GGA
# DOS at the Fermi energy (states/eV per atom): 0.12
# Energy relative to the lowest polymorph listed for this composition (eV/f.u.): 0.53
# Size of the total moment (μB per cell): 0.000
data_BaMgCl2
_cell_length_a 5.201
_cell_length_b 5.201
_cell_length_c 4.327
_cell_angle_alpha 90.00
_cell_angle_beta 90.00
_cell_angle_gamma 90.00
_symmetry_space_group_name_H-M 'P 4/m m m'
_symmetry_Int_Tables_number 123
_symmetry_space_group_name_Hall '-P 4 2'
loop_
_atom_site_label
_atom_site_fract_x
_atom_site_fract_y
_atom_site_fract_z
Ba1 0.000 0.000 0.000
Mg1 0.500 0.500 0.000
Cl1 0.000 0.500 0.500